1.
VASP calculation (GGA-PBE) on a geometry-optimized Nd2YB9 structure.

Summary:
Its energy of formation is -104 meV/atom. As for the space-group type: R-3m.

Unit cell a=4.471 b=4.471 c=9.996 alpha=77.08 beta=77.08 gamma=60.00
Atoms (fractional coordinates):
B 0.603 0.603 0.192
B 0.397 0.397 0.808
B 0.604 0.968 0.823
B 0.604 0.604 0.823
B 0.968 0.604 0.823
B 0.396 0.032 0.177
B 0.500 0.500 0.500
B 0.396 0.396 0.177
B 0.032 0.396 0.177
Nd 0.884 0.884 0.349
Nd 0.116 0.116 0.651
Y 0.000 0.000 0.000

***

2.
VASP calculation (GGA-PBE) on a geometry-optimized Dy6YTe8 structure.

Summary:
As for the space-group type: R-3. For the formation energy (no corrections), the calculation gives -1.065 eV/atom. As for the excess energy over the best structure of this formula in the dataset: 0.302 eV per atom.

Unit cell a=8.053 b=8.053 c=8.053 alpha=91.47 beta=91.47 gamma=91.47
Atoms (fractional coordinates):
Te 0.228 0.228 0.228
Te 0.253 0.649 0.869
Te 0.869 0.253 0.649
Te 0.351 0.131 0.747
Te 0.649 0.869 0.253
Te 0.772 0.772 0.772
Te 0.131 0.747 0.351
Te 0.747 0.351 0.131
Y 0.000 0.000 0.000
Dy 0.806 0.581 0.441
Dy 0.194 0.419 0.559
Dy 0.441 0.806 0.581
Dy 0.581 0.441 0.806
Dy 0.419 0.559 0.194
Dy 0.559 0.194 0.419

***

Number 1: N(E_F) 6.5 states/eV/cell, total magnetic moment 0.0 μB/f.u.. Number 2: N(E_F) 12.0 states/eV/cell, total magnetic moment 0.0 μB/f.u..